Entry 1:
A geometry-optimized CaReSn2 structure. Source: Alexandria via LeMat-Bulk, functional GGA-PBE.

Output
formation energy from the elements	0.164	eV/atom
final energy	-5.45	eV/atom
distance to the lowest polymorph of the same formula	0.0000	eV/atom
total moment	0.0	μB per formula unit

Lattice parameters (Å, degrees): 4.888 4.888 4.888 60.00 60.00 60.00
Positions (direct):
Sn1 0.750 0.750 0.750
Sn2 0.250 0.250 0.250
Re1 0.500 0.500 0.500
Ca1 0.000 0.000 0.000

Entry 2:
A geometry-optimized SrCaRe structure. Source: Alexandria via LeMat-Bulk, functional GGA-PBE.

Output
formation energy from the elements	1.072	eV/atom
final energy	-4.30	eV/atom
distance to the lowest polymorph of the same formula	0.1572	eV/atom
total moment	0.9	μB per formula unit

Lattice parameters (Å, degrees): 3.421 3.421 8.304 90.00 90.00 120.00
Each line ends with the local moment (μB).
Positions (direct):
Sr1 0.333 0.667 0.612  0.00
Re1 0.667 0.333 0.328  0.74
Ca1 0.000 0.000 0.060  0.01

Entry 3:
A geometry-optimized SrCa3Re structure. Source: Alexandria via LeMat-Bulk, functional GGA-PBE.

Output
formation energy from the elements	2.196	eV/atom
final energy	-1.83	eV/atom
distance to the lowest polymorph of the same formula	1.6464	eV/atom
total moment	0.0	μB per formula unit

Lattice parameters (Å, degrees): 5.421 5.421 5.421 90.00 90.00 90.00
Positions (direct):
Sr1 0.000 0.000 0.000
Ca1 0.500 0.000 0.000
Ca2 0.000 0.000 0.500
Ca3 0.000 0.500 0.000
Re1 0.500 0.500 0.500

Entry 4:
A geometry-optimized SrCaRe4 structure. Source: Alexandria via LeMat-Bulk, functional GGA-PBE.

Output
formation energy from the elements	0.417	eV/atom
final energy	-8.50	eV/atom
total moment	0.0	μB per formula unit

Lattice parameters (Å, degrees): 5.485 5.485 5.485 60.00 60.00 60.00
Positions (direct):
Re1 0.876 0.375 0.375
Re2 0.375 0.375 0.375
Re3 0.375 0.375 0.876
Re4 0.375 0.876 0.375
Ca1 0.000 0.000 0.000
Sr1 0.750 0.750 0.750

Entry 5:
A geometry-optimized Sr4CaRe structure. Source: Alexandria via LeMat-Bulk, functional GGA-PBE.

Output
formation energy from the elements	1.184	eV/atom
final energy	-2.35	eV/atom
total moment	3.1	μB per formula unit

Lattice parameters (Å, degrees): 7.120 7.120 7.120 60.00 60.00 60.00
Each line ends with the local moment (μB).
Positions (direct):
Sr1 0.374 0.878 0.374  -0.04
Sr2 0.878 0.374 0.374  -0.04
Sr3 0.374 0.374 0.374  -0.04
Sr4 0.374 0.374 0.878  -0.04
Ca1 0.750 0.750 0.750  -0.04
Re1 0.000 0.000 0.000  3.02

Entry 6:
A geometry-optimized SrCaRe structure. Source: Alexandria via LeMat-Bulk, functional GGA-PBE.

Output
formation energy from the elements	0.945	eV/atom
final energy	-4.43	eV/atom
distance to the lowest polymorph of the same formula	0.0295	eV/atom
total moment	0.0	μB per formula unit

Lattice parameters (Å, degrees): 5.364 5.364 2.872 90.00 90.00 120.00
Positions (direct):
Sr1 0.333 0.667 0.834
Re1 0.667 0.333 0.333
Ca1 0.000 0.000 0.832